No. 1
ScPd2Pb | Alexandria | PBE | relaxed; formation energy = -0.631 eV per atom
1.0
3.428 0.000 0.000
0.000 3.428 0.000
0.000 0.000 6.657
Sc Pd Pb
1 2 1
Direct
0.000 0.000 0.000
0.500 0.500 0.217
0.500 0.500 0.783
0.000 0.000 0.500

No. 2
ScPd2Pb | Alexandria | PBE | relaxed; formation energy = -0.246 eV per atom
1.0
-2.122 2.122 9.286
2.122 -2.122 9.286
2.122 2.122 -9.286
Sc Pd Pb
2 4 2
Direct
0.000 0.000 0.000
0.750 0.250 0.500
0.115 0.625 0.990
0.375 0.365 0.490
0.635 0.125 0.010
0.875 0.885 0.510
0.250 0.750 0.500
0.500 0.500 0.000